No. 1
The following is a PBE calculation of a geometry-optimized Zr3PAu structure, from OQMD via LeMat-Bulk.

a = 6.097 Å, b = 6.097 Å, c = 9.730 Å
α = 90.00°, β = 90.00°, γ = 144.80°
Element x y z (fractional)
Zr1 0.857 0.143 0.560
Zr2 0.143 0.857 0.060
Zr3 0.559 0.441 0.750
P1 0.500 0.500 0.000
Zr4 0.857 0.143 0.940
Zr5 0.441 0.559 0.250
Au1 0.248 0.752 0.750
Zr6 0.143 0.857 0.440
Au2 0.752 0.248 0.250
P2 0.500 0.500 0.500

Summary:
Its total moment is 0.003 μB per atom. The theoretical density comes out at 7992 kg/m3. For the raw total energy, the calculation gives -7.662 eV/atom. The space-group type is Cmcm, No. 63.

No. 2
The following is a PBE calculation of a geometry-optimized Zr3P5Au structure, from OQMD via LeMat-Bulk.

a = 6.290 Å, b = 6.290 Å, c = 5.727 Å
α = 90.00°, β = 90.00°, γ = 120.00°
Element x y z (fractional)
P1 0.333 0.667 0.817
Au1 0.000 0.000 0.000
Zr1 0.000 0.500 0.500
P2 0.667 0.333 0.183
P3 0.667 0.333 0.817
P4 0.000 0.000 0.500
P5 0.333 0.667 0.183
Zr2 0.500 0.500 0.500
Zr3 0.500 0.000 0.500

Summary:
Its total moment is 0.000 μB per atom. The theoretical density comes out at 5293 kg/m3. For the raw total energy, the calculation gives -6.517 eV/atom. The space-group type is P6/mmm, No. 191.

No. 3
The following is a PBE calculation of a geometry-optimized Zr2PAu structure, from OQMD via LeMat-Bulk.

a = 9.209 Å, b = 9.209 Å, c = 5.034 Å
α = 90.00°, β = 90.00°, γ = 158.06°
Element x y z (fractional)
Zr1 0.208 0.792 0.250
Au1 0.045 0.955 0.250
P1 0.189 0.811 0.750
Zr2 0.415 0.585 0.250
Zr3 0.792 0.208 0.750
P2 0.811 0.189 0.250
Au2 0.955 0.045 0.750
Zr4 0.585 0.415 0.750

Summary:
Its total moment is 0.001 μB per atom. The theoretical density comes out at 8544 kg/m3. For the raw total energy, the calculation gives -7.353 eV/atom. The space-group type is Cmcm, No. 63.

No. 4
The following is a PBE calculation of a geometry-optimized Pa3Au structure, from OQMD via LeMat-Bulk.

a = 5.400 Å, b = 5.400 Å, c = 3.209 Å
α = 90.00°, β = 90.00°, γ = 90.00°
Element x y z (fractional)
Pa1 0.000 0.500 0.500
Pa2 0.500 0.000 0.500
Au1 0.000 0.000 0.000
Pa3 0.500 0.500 0.000

Summary:
Its total moment is 0.001 μB per atom. The formation energy from the elements is -214.1 meV per atom. The theoretical density comes out at 15793 kg/m3. For the raw total energy, the calculation gives -8.153 eV/atom. The space-group type is P4/mmm, No. 123.

No. 5
The following is a PBE calculation of a geometry-optimized PaPdAu structure, from OQMD via LeMat-Bulk.

a = 4.641 Å, b = 4.641 Å, c = 4.641 Å
α = 60.00°, β = 60.00°, γ = 60.00°
Each line ends with the local moment (μB).
Element x y z (fractional)
Pd1 0.000 0.000 0.000  0.02
Au1 0.250 0.250 0.250  0.07
Pa1 0.750 0.750 0.750  1.10

Summary:
Its total moment is 0.520 μB per atom. The formation energy from the elements is -290.2 meV per atom. The theoretical density comes out at 12556 kg/m3. For the raw total energy, the calculation gives -6.269 eV/atom. The energy above the most stable polymorph in this dataset comes out at 0 meV per atom. The space-group type is F-43m, No. 216.

No. 6
The following is a PBE calculation of a geometry-optimized PaPdAu structure, from OQMD via LeMat-Bulk.

a = 4.727 Å, b = 4.727 Å, c = 4.727 Å
α = 60.00°, β = 60.00°, γ = 60.00°
Each line ends with the local moment (μB).
Element x y z (fractional)
Au1 0.500 0.500 0.500  0.00
Pa1 0.250 0.250 0.250  0.27
Pd1 0.000 0.000 0.000  -0.01

Summary:
Its total moment is 0.111 μB per atom. The formation energy from the elements is -70.2 meV per atom. The theoretical density comes out at 11882 kg/m3. For the raw total energy, the calculation gives -6.049 eV/atom. The energy above the most stable polymorph in this dataset comes out at 220 meV per atom. The space-group type is F-43m, No. 216.

No. 7
The following is a PBE calculation of a geometry-optimized Pa2Si3Au structure, from OQMD via LeMat-Bulk.

a = 8.273 Å, b = 8.186 Å, c = 5.767 Å
α = 70.30°, β = 68.68°, γ = 41.02°
Each line ends with the local moment (μB).
Element x y z (fractional)
Si1 0.833 0.833 0.167  0.00
Si2 0.677 0.158 0.842  0.00
Si3 0.158 0.677 0.323  0.00
Si4 0.842 0.323 0.677  0.00
Pa1 0.238 0.762 0.762  0.07
Si5 0.323 0.842 0.158  0.00
Au1 0.661 0.661 0.339  0.01
Au2 0.339 0.339 0.661  0.01
Pa2 0.250 0.250 0.250  0.10
Si6 0.167 0.167 0.833  0.00
Pa3 0.750 0.750 0.750  0.10
Pa4 0.762 0.238 0.238  0.07

Summary:
Its total moment is 0.039 μB per atom. The theoretical density comes out at 10393 kg/m3. For the raw total energy, the calculation gives -6.908 eV/atom. The space-group type is Fmmm, No. 69.

No. 8
The following is a PBE calculation of a geometry-optimized SmPaAu structure, from OQMD via LeMat-Bulk.

a = 4.905 Å, b = 4.905 Å, c = 4.905 Å
α = 60.00°, β = 60.00°, γ = 60.00°
Element x y z (fractional)
Au1 0.250 0.250 0.250
Pa1 0.000 0.000 0.000
Sm1 0.750 0.750 0.750

Summary:
Its total moment is 0.370 μB per atom. The formation energy from the elements is 418.1 meV per atom. The theoretical density comes out at 11509 kg/m3. For the raw total energy, the calculation gives -5.406 eV/atom. The energy above the most stable polymorph in this dataset comes out at 0 meV per atom. The space-group type is F-43m, No. 216.

Please write out number 3 again, unchanged.
The following is a PBE calculation of a geometry-optimized Zr2PAu structure, from OQMD via LeMat-Bulk.

a = 9.209 Å, b = 9.209 Å, c = 5.034 Å
α = 90.00°, β = 90.00°, γ = 158.06°
Element x y z (fractional)
Zr1 0.208 0.792 0.250
Au1 0.045 0.955 0.250
P1 0.189 0.811 0.750
Zr2 0.415 0.585 0.250
Zr3 0.792 0.208 0.750
P2 0.811 0.189 0.250
Au2 0.955 0.045 0.750
Zr4 0.585 0.415 0.750

Summary:
Its total moment is 0.001 μB per atom. The theoretical density comes out at 8544 kg/m3. For the raw total energy, the calculation gives -7.353 eV/atom. The space-group type is Cmcm, No. 63.

> Among the records above, which one has the highest total moment?

number 5

> Which value of total moment does entry 5 give?

0.520 μB per atom

> Among the records above, which one has the highest total moment?

number 5